Computed, not measured: crystalline CdB at its relaxed geometry at the GGA-PBE level of DFT.

Values from the calculation:
ΔH_f (0 K) in eV/atom: 1.3917
VASP energy in eV/atom: -2.405
Relative energy among the computed polymorphs in meV per atom: 1027.4

abc: 4.2664 4.2664 4.6048
angles: 90.00 90.00 120.00
Space group P6_3/mmc (No. 194)
One atom of each set of equivalent atoms:
Cd: 0.3333 0.6667 0.2500
B: 0.3333 0.6667 0.7500